Model w:
LiSCl2O | PBE-GGA | relaxed

Lattice parameters (Å, degrees): 4.6777 4.6777 5.0620 90.00 90.00 90.00
Last column: nearest neighbours and their distance in Å.
Space group P4/mmm (No. 123)
Unique sites:
Li1 0.0000 0.0000 0.0000 x1  4 Cl 2.34, 2 S 2.53
S1 0.0000 0.0000 0.5000 x1  2 Li 2.53
Cl1 0.0000 0.5000 0.0000 x2  2 Li 2.34
O1 0.5000 0.5000 0.5000 x1  4 S 3.31, 8 Cl 3.45

Size of the total moment   5.01 μB/f.u.
V   110.8 Å³/cell

---

Model x:
LiSCl2O | PBE-GGA | relaxed

Lattice parameters (Å, degrees): 4.7479 4.7479 4.9606 90.00 90.00 90.00
Last column: nearest neighbours and their distance in Å.
Space group P4/mmm (No. 123)
Unique sites:
Li1 0.0000 0.0000 0.0000 x1  2 S 2.48
S1 0.0000 0.0000 0.5000 x1  4 Cl 2.37, 2 Li 2.48
Cl1 0.0000 0.5000 0.5000 x2  2 S 2.37
O1 0.5000 0.5000 0.0000 x1  4 Li 3.36, 8 Cl 3.43

Size of the total moment   1.67 μB/f.u.
V   111.8 Å³/cell

---

Decreasing stability: model x, model w

---

Model w:
LiSb3TeClO6 | PBE-GGA | relaxed

Lattice parameters (Å, degrees): 15.4781 4.1785 9.5077 90.00 121.01 90.00
Last column: nearest neighbours and their distance in Å.
Space group Cm (No. 8)
Unique sites:
Li1 0.0000 0.0000 0.0000 x2  2 O 1.87-2.00
Sb1 0.2982 0.5000 0.0756 x2  4 O 2.01-2.19
Sb2 0.3010 0.5000 0.6965 x2  4 O 2.00-2.23
Sb3 0.4758 0.0000 0.3596 x2  4 O 1.99-2.19
Te1 0.4930 0.0000 0.7423 x2  4 O 2.00-2.19
Cl1 0.1539 0.0000 0.7196 x2  4 O 3.15-3.51, 2 Sb 3.18, 2 Te 3.34
O1 0.3424 0.0000 0.1413 x2  3 Sb 2.04-2.19
O2 0.3557 0.0000 0.7141 x2  1 Te 2.00, 2 Sb 2.23
O3 0.3643 0.5000 0.9409 x2  1 Li 1.87, 2 Sb 2.00-2.01
O4 0.4079 0.0000 0.4898 x2  1 Sb 1.99, 1 Te 2.06
O5 0.4341 0.5000 0.2871 x2  3 Sb 2.03-2.19
O6 0.4571 0.5000 0.7621 x2  1 Li 2.00, 1 Sb 2.16, 2 Te 2.19

Size of the total moment   1.01 μB/f.u.
V   527.0 Å³/cell

---

Model x:
LiSb3TeClO6 | PBE-GGA | relaxed

Lattice parameters (Å, degrees): 4.2353 9.5407 9.8684 118.38 98.37 90.28
Last column: nearest neighbours and their distance in Å.
Space group P1 (No. 1)
Unique sites:
Li1 0.0000 0.0000 0.0000 x1  2 Cl 2.26-2.27
Sb1 0.2593 0.9935 0.3264 x1  4 O 2.00-2.21
Sb2 0.8313 0.6087 0.5840 x1  3 O 1.97-2.16
Sb3 0.8473 0.9910 0.5940 x1  4 O 1.98-2.21
Te1 0.2019 0.3389 0.3066 x1  3 O 1.96-2.09
Cl1 0.4686 0.9503 0.9063 x1  2 Li 2.26-2.27
O1 0.3141 0.2351 0.4350 x1  1 Te 1.96, 1 Sb 2.02
O2 0.3212 0.5474 0.5214 x1  1 Te 2.09, 2 Sb 2.16-2.25
O3 0.3251 0.9881 0.5287 x1  3 Sb 2.00-2.21
O4 0.7766 0.4048 0.3653 x1  1 Te 1.99, 1 Sb 2.09
O5 0.7774 0.9954 0.3877 x1  3 Sb 2.03-2.21
O6 0.8099 0.7552 0.4948 x1  2 Sb 1.97-1.98

Size of the total moment   1.00 μB/f.u.
V   345.8 Å³/cell

---

Decreasing stability: model x, model w

---

Model w:
LiSeClO2 | PBE-GGA | relaxed

Lattice parameters (Å, degrees): 5.7072 3.9343 6.9981 90.00 101.69 90.00
Last column: nearest neighbours and their distance in Å.
Space group P2_1/m (No. 11)
Unique sites:
Li1 0.2122 0.2500 0.4613 x2  3 O 2.13-2.33
Se1 0.1475 0.2500 0.8881 x2  1 O 1.67
Cl1 0.4602 0.7500 0.7119 x2  1 Li 2.43
O1 0.0216 0.7500 0.3370 x2  1 Se 1.67
O2 0.0816 0.7500 0.9521 x2  3 Se 1.89-2.07

Size of the total moment   0.00 μB/f.u.
V   153.9 Å³/cell

---

Model x:
LiSeClO2 | PBE-GGA | relaxed

Lattice parameters (Å, degrees): 3.8072 3.8072 4.4401 90.00 90.00 90.00
Last column: nearest neighbours and their distance in Å.
Space group P4/mmm (No. 123)
Unique sites:
Li1 0.0000 0.0000 0.0000 x1  4 O 1.90
Se1 0.5000 0.5000 0.5000 x1  4 Cl 2.69, 8 O 2.92
Cl1 0.0000 0.0000 0.5000 x1  2 Li 2.22
O1 0.0000 0.5000 0.0000 x2  2 Li 1.90

Size of the total moment   0.00 μB/f.u.
V   64.4 Å³/cell

---

Decreasing stability: model w, model x

---

Model w:
LiOsCl2 | PBE-GGA | relaxed

Lattice parameters (Å, degrees): 3.4159 3.4159 15.6822 90.00 90.00 90.00
Last column: nearest neighbours and their distance in Å.
Space group I-4m2 (No. 119)
Unique sites:
Li1 0.0000 0.0000 0.0000 x2  4 Cl 2.42
Os1 0.0000 0.5000 0.7500 x2  4 Cl 2.42
Cl1 0.0000 0.0000 0.5000 x2  4 Li 2.42
Cl2 0.0000 0.5000 0.2500 x2  4 Os 2.42

Size of the total moment   1.94 μB/f.u.
V   183.0 Å³/cell

---

Model x:
LiOsCl2 | PBE-GGA | relaxed

Lattice parameters (Å, degrees): 12.8002 2.8826 5.1253 90.00 91.81 90.00
Last column: nearest neighbours and their distance in Å.
Space group C2/m (No. 12)
Unique sites:
Li1 0.0000 0.0000 0.0000 x2  4 Cl 2.49
Os1 0.0000 0.5000 0.5000 x2  2 Cl 2.26
Cl1 0.1340 0.5000 0.2238 x4  1 Os 2.26, 2 Li 2.49

Size of the total moment   1.25 μB/f.u.
V   189.0 Å³/cell

---

Model y:
LiOsCl2 | PBE-GGA | relaxed

Lattice parameters (Å, degrees): 6.6760 6.6760 6.6760 90.00 90.00 90.00
Last column: nearest neighbours and their distance in Å.
Space group F-43m (No. 216)
Unique sites:
Li1 0.0000 0.0000 0.0000 x4  4 Cl 2.89, 4 Os 2.89
Os1 0.2500 0.2500 0.2500 x4  4 Li 2.89, 4 Cl 2.89
Cl1 0.0000 0.0000 0.5000 x4  4 Os 2.89, 4 Cl 2.89
Cl2 0.2500 0.2500 0.7500 x4  4 Cl 2.89, 4 Li 2.89

Size of the total moment   3.21 μB/f.u.
V   297.5 Å³/cell

---

Decreasing stability: model x, model w, model y

---

Model w:
LiOsCl | PBE-GGA | relaxed

Lattice parameters (Å, degrees): 5.8748 5.8748 5.8748 90.00 90.00 90.00
Last column: nearest neighbours and their distance in Å.
Space group F-43m (No. 216)
Unique sites:
Li1 0.0000 0.0000 0.0000 x4  4 Os 2.54
Os1 0.2500 0.2500 0.7500 x4  4 Cl 2.54, 4 Li 2.54
Cl1 0.0000 0.0000 0.5000 x4  4 Os 2.54

Size of the total moment   1.80 μB/f.u.
V   202.8 Å³/cell

---

Model x:
LiOsCl | PBE-GGA | relaxed

Lattice parameters (Å, degrees): 4.2388 4.2388 2.7988 90.00 90.00 120.00
Last column: nearest neighbours and their distance in Å.
Space group P-6m2 (No. 187)
Unique sites:
Li1 0.0000 0.0000 0.0000 x1  2 Li 2.80, 6 Cl 2.82, 6 Os 2.82
Os1 0.3333 0.6667 0.5000 x1  3 Cl 2.45
Cl1 0.6667 0.3333 0.5000 x1  3 Os 2.45

Size of the total moment   0.00 μB/f.u.
V   43.5 Å³/cell

---

Model y:
LiOsCl | PBE-GGA | relaxed

Lattice parameters (Å, degrees): 5.7863 5.7863 5.7863 90.00 90.00 90.00
Last column: nearest neighbours and their distance in Å.
Space group F-43m (No. 216)
Unique sites:
Li1 0.0000 0.0000 0.0000 x4  4 Cl 2.51
Os1 0.0000 0.0000 0.5000 x4  4 Cl 2.51
Cl1 0.2500 0.2500 0.7500 x4  4 Li 2.51, 4 Os 2.51

Size of the total moment   1.97 μB/f.u.
V   193.7 Å³/cell

---

Decreasing stability: model x, model y, model w

---

Model w:
LiOsCl | PBE-GGA | relaxed

Lattice parameters (Å, degrees): 2.7597 3.2007 11.3675 90.00 90.00 90.00
Last column: nearest neighbours and their distance in Å.
Space group Imm2 (No. 44)
Unique sites:
Li1 0.0000 0.0000 0.0000 x2  4 Cl 2.25
Os1 0.0000 0.0000 0.6426 x2  1 Cl 2.40, 4 Li 2.66
Cl1 0.0000 0.0000 0.4312 x2  4 Li 2.25, 1 Os 2.40

Size of the total moment   0.00 μB/f.u.
V   100.4 Å³/cell

---

Model x:
LiOsCl | PBE-GGA | relaxed

Lattice parameters (Å, degrees): 2.8765 2.8765 6.1015 90.00 90.00 120.00
Last column: nearest neighbours and their distance in Å.
Space group P3m1 (No. 156)
Unique sites:
Li1 0.0000 0.0000 0.0000 x1  3 Cl 2.42
Os1 0.3333 0.6667 0.3613 x1  3 Cl 2.70, 3 Li 2.76, 6 Os 2.88
Cl1 0.6667 0.3333 0.7110 x1  3 Li 2.42, 3 Os 2.70

Size of the total moment   0.53 μB/f.u.
V   43.7 Å³/cell

---

Decreasing stability: model x, model w

---

Model w:
LiOsCl3 | PBE-GGA | relaxed

Lattice parameters (Å, degrees): 4.8561 4.8561 4.8561 90.00 90.00 90.00
Last column: nearest neighbours and their distance in Å.
Space group Pm-3m (No. 221)
Unique sites:
Li1 0.0000 0.0000 0.0000 x1  12 Cl 3.43
Os1 0.5000 0.5000 0.5000 x1  6 Cl 2.43
Cl1 0.0000 0.5000 0.5000 x3  2 Os 2.43

Size of the total moment   1.32 μB/f.u.
V   114.5 Å³/cell

---

Model x:
LiOsCl3 | PBE-GGA | relaxed

Lattice parameters (Å, degrees): 4.6191 4.6191 4.6191 90.00 90.00 90.00
Last column: nearest neighbours and their distance in Å.
Space group Pm-3m (No. 221)
Unique sites:
Li1 0.0000 0.0000 0.0000 x1  6 Cl 2.31
Os1 0.5000 0.5000 0.5000 x1  12 Cl 3.27
Cl1 0.0000 0.0000 0.5000 x3  2 Li 2.31

Size of the total moment   4.27 μB/f.u.
V   98.6 Å³/cell

---

Decreasing stability: model w, model x

---

Model w:
LiP2OsCl | PBE-GGA | relaxed

Lattice parameters (Å, degrees): 4.2092 4.2092 4.3227 90.00 90.00 90.00
Last column: nearest neighbours and their distance in Å.
Space group P4/mmm (No. 123)
Unique sites:
Li1 0.0000 0.0000 0.0000 x1  4 P 2.10, 2 Cl 2.16
P1 0.0000 0.5000 0.0000 x2  2 Li 2.10
Os1 0.5000 0.5000 0.5000 x1  4 Cl 2.98, 8 P 3.02
Cl1 0.0000 0.0000 0.5000 x1  2 Li 2.16

Size of the total moment   0.00 μB/f.u.
V   76.6 Å³/cell

---

Model x:
LiP2OsCl | PBE-GGA | relaxed

Lattice parameters (Å, degrees): 4.4637 4.4637 5.7983 90.00 90.00 90.00
Last column: nearest neighbours and their distance in Å.
Space group P4/mmm (No. 123)
Unique sites:
Li1 0.0000 0.0000 0.0000 x1  4 Cl 3.16
P1 0.0000 0.5000 0.5000 x2  2 Os 2.23
Os1 0.5000 0.5000 0.5000 x1  4 P 2.23
Cl1 0.5000 0.5000 0.0000 x1  2 Os 2.90, 4 Li 3.16

Size of the total moment   0.00 μB/f.u.
V   115.5 Å³/cell

---

Decreasing stability: model x, model w